1.
DFT (PBE) results for a relaxed structure of Sm4DyBi5.

Computed properties:
- N(E_F): 0.21 states/eV per atom
- Energy of formation: -21.03 kcal/mol of atoms

Cell lengths 4.5435, 6.4212, 12.0102 Å; angles 105.51, 100.90, 90.00 degrees
Closest atoms and distances in Å follow each position.
Element x y z (fractional)
Bi  0.7997  0.2997  0.5994  6 Sm 3.21-3.22
Dy  0.0000  0.0000  0.0000  6 Bi 3.18-3.21
Sm  0.8009  0.8009  0.6018  6 Bi 3.21-3.23
Bi  0.2003  0.7003  0.4006  6 Sm 3.21-3.22
Bi  0.0000  0.5000  0.0000  4 Sm 3.21, 2 Dy 3.21
Bi  0.4020  0.9020  0.8040  2 Dy 3.18, 4 Sm 3.21-3.23
Sm  0.4001  0.4001  0.8002  6 Bi 3.21-3.22
Sm  0.1991  0.1991  0.3982  6 Bi 3.21-3.23
Sm  0.5999  0.5999  0.1998  6 Bi 3.21-3.22
Bi  0.5980  0.0980  0.1960  2 Dy 3.18, 4 Sm 3.21-3.23

2.
DFT (PBE) results for a relaxed structure of Sr2CrAg.

Computed properties:
- Energy above the lowest structure with this stoichiometry: 93 meV per atom
- N(E_F): 0.64 states/eV per atom
- Energy of formation: 6.58 kcal/mol of atoms

Cell lengths 6.7183, 6.7183, 6.7183 Å; angles 145.04, 132.52, 60.31 degrees
Closest atoms and distances in Å follow each position.
Element x y z (fractional)
Cr  0.7022  0.2022  0.5000  2 Ag 2.78
Ag  0.5370  0.5370  0.0000  2 Cr 2.78
Sr  0.2742  0.7742  0.5000  4 Cr 3.48, 4 Ag 3.66-3.86, 2 Sr 3.66
Sr  0.9865  0.9865  0.0000  4 Ag 3.43, 2 Sr 3.66, 2 Cr 3.69

3.
DFT (PBE) results for a relaxed structure of Nd2Dy3Sb2.

Computed properties:
- N(E_F): 1.29 states/eV per atom
- ΔE_f (raw): -0.655 eV per atom

Cell lengths 4.3054, 6.4925, 8.6933 Å; angles 108.77, 90.00, 109.36 degrees
Closest atoms and distances in Å follow each position.
Element x y z (fractional)
Dy  0.5000  0.0000  0.0000  4 Sb 3.08
Nd  0.8649  0.7299  0.2058  3 Sb 3.22-3.43, 2 Dy 3.55
Dy  0.6258  0.2516  0.4476  3 Sb 3.19-3.22, 1 Dy 3.50
Sb  0.8316  0.6633  0.7972  5 Dy 3.08-3.22, 3 Nd 3.22-3.43
Sb  0.1684  0.3367  0.2028  5 Dy 3.08-3.22, 3 Nd 3.22-3.43
Dy  0.3742  0.7484  0.5524  3 Sb 3.19-3.22, 1 Dy 3.50
Nd  0.1351  0.2701  0.7942  3 Sb 3.22-3.43, 2 Dy 3.55

4.
DFT (PBE) results for a relaxed structure of SrCo2Si.

Computed properties:
- N(E_F): 1.14 states/eV per atom
- ΔE_f (raw): -0.286 eV per atom

Cell lengths 4.0511, 4.0511, 5.8611 Å; angles 69.80, 69.80, 60.00 degrees
Closest atoms and distances in Å follow each position.
Element x y z (fractional)
Sr  0.2500  0.2500  0.2500  2 Co 2.95
Co  0.0673  0.0673  0.7981  3 Si 2.35, 3 Co 2.40
Si  0.7500  0.7500  0.7500  6 Co 2.35
Co  0.4327  0.4327  0.7019  3 Si 2.35, 3 Co 2.40

5.
DFT (PBE) results for a relaxed structure of SrHoCu2Te4.

Computed properties:
- N(E_F): 0.65 states/eV per atom
- ΔE_f (raw): -0.677 eV per atom

Cell lengths 7.0766, 6.8254, 6.8254 Å; angles 70.80, 58.77, 58.77 degrees
Closest atoms and distances in Å follow each position.
Element x y z (fractional)
Te  0.9405  0.5136  0.0781  1 Cu 2.58
Cu  0.1508  0.3492  0.3492  2 Te 2.58, 1 Cu 2.59
Te  0.4677  0.0781  0.5136  1 Cu 2.58
Te  0.5323  0.4864  0.9219  1 Cu 2.58
Ho  0.5000  0.5000  0.5000  4 Te 2.97
Sr  0.0000  0.0000  0.0000  8 Te 3.40-3.50
Cu  0.8492  0.6508  0.6508  2 Te 2.58, 1 Cu 2.59
Te  0.0595  0.9219  0.4864  1 Cu 2.58

6.
DFT (PBE) results for a relaxed structure of Nd2ZrPt.

Computed properties:
- N(E_F): 1.03 states/eV per atom
- Energy of formation: 0.40 kcal/mol of atoms

Cell lengths 3.6216, 3.6216, 10.5635 Å; angles 80.13, 80.13, 60.00 degrees
Closest atoms and distances in Å follow each position.
Element x y z (fractional)
Nd  0.1022  0.1022  0.6935  3 Pt 2.90, 1 Zr 3.17
Nd  0.8978  0.8978  0.3065  3 Pt 2.90, 1 Zr 3.17
Pt  0.5000  0.5000  0.5000  6 Nd 2.90
Zr  0.0000  0.0000  0.0000  2 Nd 3.17

7.
DFT (PBE) results for a relaxed structure of Y2CrOs.

Computed properties:
- Energy above the lowest structure with this stoichiometry: 564 meV per atom
- N(E_F): 0.52 states/eV per atom
- Energy of formation: 13.82 kcal/mol of atoms

Cell lengths 7.7881, 7.7881, 6.3009 Å; angles 51.83, 51.83, 90.00 degrees
Closest atoms and distances in Å follow each position.
Element x y z (fractional)
Os  0.7500  0.2500  0.5000  4 Y 2.71
Cr  0.2500  0.7500  0.5000  4 Y 3.01, 2 Os 3.06
Os  0.0000  0.0000  0.0000  4 Y 2.71
Y  0.3750  0.3470  0.7500  2 Os 2.71, 2 Cr 3.01
Cr  0.5000  0.5000  0.0000  4 Y 3.01, 2 Os 3.06
Y  0.0970  0.6250  0.2500  2 Os 2.71, 2 Cr 3.01
Y  0.6530  0.1250  0.2500  2 Os 2.71, 2 Cr 3.01
Y  0.8750  0.9030  0.7500  2 Os 2.71, 2 Cr 3.01

8.
DFT (PBE) results for a relaxed structure of CaErTh.

Computed properties:
- Energy above the lowest structure with this stoichiometry: 4 meV per atom
- N(E_F): 1.20 states/eV per atom
- Energy of formation: 2.48 kcal/mol of atoms

Cell lengths 3.5727, 3.5727, 8.4571 Å; angles 102.19, 102.19, 90.00 degrees
Closest atoms and distances in Å follow each position.
Element x y z (fractional)
Th  0.3230  0.3230  0.6460  4 Er 3.45, 4 Th 3.57, 4 Ca 3.81
Er  0.6772  0.6772  0.3544  4 Th 3.45, 4 Er 3.57, 4 Ca 3.82
Ca  0.9998  0.9998  0.9996  4 Ca 3.57, 4 Th 3.81, 4 Er 3.82

9.
DFT (PBE) results for a relaxed structure of PmEr3Co.

Computed properties:
- Energy above the lowest structure with this stoichiometry: 11 meV per atom
- N(E_F): 1.61 states/eV per atom
- Energy of formation: -1.05 kcal/mol of atoms

Cell lengths 5.2500, 5.2500, 5.2500 Å; angles 90.00, 90.00, 90.00 degrees
Closest atoms and distances in Å follow each position.
Element x y z (fractional)
Co  0.0000  0.0000  0.0000  6 Er 2.62
Pm  0.5000  0.5000  0.5000  12 Er 3.71
Er  0.0000  0.5000  0.0000  2 Co 2.62
Er  0.0000  0.0000  0.5000  2 Co 2.62
Er  0.5000  0.0000  0.0000  2 Co 2.62

10.
DFT (PBE) results for a relaxed structure of W2Au.

Computed properties:
- Energy above the lowest structure with this stoichiometry: 51 meV per atom
- N(E_F): 1.01 states/eV per atom
- Energy of formation: 9.61 kcal/mol of atoms

Cell lengths 7.8575, 7.8575, 4.7469 Å; angles 90.00, 90.00, 160.19 degrees
Closest atoms and distances in Å follow each position.
Element x y z (fractional)
W  0.7828  0.2172  0.2500  8 W 2.70-2.93, 4 Au 2.85-2.92
Au  0.1155  0.8845  0.2500  2 Au 2.70, 10 W 2.85-2.92
Au  0.8845  0.1155  0.7500  2 Au 2.70, 10 W 2.85-2.92
W  0.4507  0.5493  0.2500  6 W 2.70-2.93, 6 Au 2.89-2.92
W  0.5493  0.4507  0.7500  6 W 2.70-2.93, 6 Au 2.89-2.92
W  0.2172  0.7828  0.7500  8 W 2.70-2.93, 4 Au 2.85-2.92

11.
DFT (PBE) results for a relaxed structure of La4GeSb2Br.

Computed properties:
- N(E_F): 0.30 states/eV per atom
- ΔE_f (raw): -1.246 eV per atom

Cell lengths 4.5411, 7.8002, 7.8230 Å; angles 70.68, 90.00, 90.00 degrees
Closest atoms and distances in Å follow each position.
Element x y z (fractional)
Ge  0.0000  0.5000  0.5000  6 La 3.09-3.13
La  0.0000  0.7486  0.7367  1 Ge 3.09, 3 Sb 3.17-3.28, 2 Br 3.24
Sb  0.0000  0.0000  0.0000  6 La 3.28
Br  0.5000  0.5000  0.0000  6 La 3.20-3.24
Sb  0.5000  0.0000  0.5000  6 La 3.17
La  0.5000  0.2604  0.7370  2 Ge 3.13, 3 Sb 3.17-3.28, 1 Br 3.20
La  0.5000  0.7396  0.2630  2 Ge 3.13, 3 Sb 3.17-3.28, 1 Br 3.20
La  0.0000  0.2514  0.2633  1 Ge 3.09, 3 Sb 3.17-3.28, 2 Br 3.24

12.
DFT (PBE) results for a relaxed structure of La2PmF.

Computed properties:
- N(E_F): 0.89 states/eV per atom
- ΔE_f (raw): -1.174 eV per atom

Cell lengths 3.8806, 3.8806, 9.1691 Å; angles 77.78, 77.78, 60.00 degrees
Closest atoms and distances in Å follow each position.
Element x y z (fractional)
La  0.2770  0.2770  0.1691  3 F 2.70
La  0.7230  0.7230  0.8309  3 F 2.70
F  0.0000  0.0000  0.0000  6 La 2.70
Pm  0.5000  0.5000  0.5000  6 La 3.70, 6 Pm 3.88

13.
DFT (PBE) results for a relaxed structure of RbAgIBr.

Computed properties:
- ΔE_f (raw): -0.893 eV per atom

Cell lengths 5.5069, 5.7900, 5.1850 Å; angles 90.24, 90.00, 90.00 degrees
Closest atoms and distances in Å follow each position.
Element x y z (fractional)
Br  0.0000  0.9490  0.6264  2 Ag 2.81
Ag  0.5000  0.9490  0.5212  2 Br 2.81, 2 I 2.94
I  0.5000  0.4485  0.4242  2 Ag 2.94
Rb  0.0000  0.4502  0.9613  2 Br 3.38, 2 I 3.65

no.,V (Å³ per cell)
1,331.1
2,126.8
3,215.5
4,76.4
5,240.3
6,117.6
7,185.7
8,103.0
9,144.7
10,99.3
11,261.5
12,116.0
13,165.3